No. 1
Material: Er2Tm2Th5
Method: DFT, PBE-GGA
State: relaxed

As for the final energy: -109.51 eV per cell. For the volume, the calculation gives 31.5 A^3/atom.

It has space group C2/m (No. 12), with a = 11.3014 Å, b = 4.9759 Å, c = 10.6633 Å, α = 90.00°, β = 108.86° and γ = 90.00°. Symmetry generates all atoms from Er at (0.1662, 0.0000, 0.0556), Tm at (0.1676, 0.0000, 0.3903), Th at (0.0000, 0.5000, 0.1685), Th at (0.0000, 0.5000, 0.5000) and Th at (0.1657, 0.0000, 0.7227).

***

No. 2
Material: ErTm4Th5
Method: DFT, PBE-GGA
State: relaxed

As for the final energy: -116.50 eV per cell. For the volume, the calculation gives 31.7 A^3/atom.

It has space group C2/m (No. 12), with a = 17.5199 Å, b = 3.4307 Å, c = 11.0497 Å, α = 90.00°, β = 107.20° and γ = 90.00°. Symmetry generates all atoms from Er at (0.0000, 0.0000, 0.0000), Tm at (0.0937, 0.5000, 0.8109), Tm at (0.1967, 0.0000, 0.0865), Th at (0.0000, 0.0000, 0.5000), Th at (0.1094, 0.5000, 0.2936) and Th at (0.1973, 0.5000, 0.5959).

***

No. 3
Material: ErTmTh2
Method: DFT, PBE-GGA
State: relaxed

As for the final energy: -47.45 eV per cell. Its energy relative to the lowest polymorph listed for this composition is 0.03 eV/f.u. For the volume, the calculation gives 31.5 A^3/atom.

It has space group Cmmm (No. 65), with a = 7.1005 Å, b = 10.0380 Å, c = 3.5321 Å, α = 90.00°, β = 90.00° and γ = 90.00°. Symmetry generates all atoms from Er at (0.0000, 0.0000, 0.0000), Tm at (0.0000, 0.5000, 0.0000) and Th at (0.2500, 0.2500, 0.5000).

***

No. 4
Material: ErTm7Th3
Method: DFT, PBE-GGA
State: relaxed

As for the final energy: -55.84 eV per cell. Its energy relative to the lowest polymorph listed for this composition is 0.54 eV/f.u. For the volume, the calculation gives 32.6 A^3/atom.

It has space group P3m1 (No. 156), with a = 7.0030 Å, b = 7.0030 Å, c = 8.4365 Å, α = 90.00°, β = 90.00° and γ = 120.00°. Symmetry generates all atoms from Er at (0.0000, 0.0000, 0.0000), Tm at (0.0021, 0.5010, 0.0029), Tm at (0.3315, 0.1657, 0.3371), Tm at (0.3333, 0.6667, 0.3394) and Th at (0.1668, 0.3337, 0.6696).

***

No. 5
Material: ErTm2Th6
Method: DFT, PBE-GGA
State: relaxed

As for the final energy: -161.70 eV per cell. Its energy relative to the lowest polymorph listed for this composition is 3.00 eV/f.u. For the volume, the calculation gives 36.1 A^3/atom.

It has space group R3m (No. 160, hexagonal axes), with a = 6.9827 Å, b = 6.9827 Å, c = 23.0791 Å, α = 90.00°, β = 90.00° and γ = 120.00°. Symmetry generates all atoms from Er at (0.0000, 0.0000, 0.0000), Tm at (0.0000, 0.0000, 0.5810), Tm at (0.0000, 0.0000, 0.7506), Th at (0.0125, 0.5062, 0.5537) and Th at (0.1751, 0.3501, 0.1076).

***

No. 6
Material: Er2TmTh4
Method: DFT, PBE-GGA
State: relaxed

As for the final energy: -166.24 eV per cell. Its energy relative to the lowest polymorph listed for this composition is 0.00 eV/f.u. For the volume, the calculation gives 33.0 A^3/atom.

It has space group C2/c (No. 15), with a = 6.6698 Å, b = 11.9730 Å, c = 11.5755 Å, α = 90.00°, β = 90.06° and γ = 90.00°. Symmetry generates all atoms from Er at (0.0000, 0.0191, 0.2500), Er at (0.0000, 0.3429, 0.2500), Tm at (0.0000, 0.3731, 0.7500), Th at (0.9999, 0.2253, 0.5158) and Th at (0.2299, 0.5001, 0.9997).

***

No. 7
Material: ErTm3Th3
Method: DFT, PBE-GGA
State: relaxed

As for the final energy: -227.97 eV per cell. For the volume, the calculation gives 33.5 A^3/atom.

It has space group R-3 (No. 148, hexagonal axes), with a = 8.7261 Å, b = 8.7261 Å, c = 21.3418 Å, α = 90.00°, β = 90.00° and γ = 120.00°. Symmetry generates all atoms from Er at (0.0000, 0.0000, 0.1465), Tm at (0.0512, 0.2746, 0.7132) and Th at (0.0086, 0.2501, 0.5539).

***

No. 8
Material: Er12Tm5Th
Method: DFT, PBE-GGA
State: relaxed

As for the final energy: -168.74 eV per cell. For the volume, the calculation gives 30.7 A^3/atom.

It has space group Cm (No. 8), with a = 17.0321 Å, b = 10.6444 Å, c = 6.1330 Å, α = 90.00°, β = 96.92° and γ = 90.00°. Symmetry generates all atoms from Er at (0.0000, 0.1653, 0.0000), Er at (0.0009, 0.3347, 0.5026), Er at (0.1662, 0.1662, 0.3903), Er at (0.1671, 0.3343, 0.8911), Er at (0.3348, 0.1657, 0.7799), Er at (0.3347, 0.3329, 0.2820), Tm at (0.9998, 0.0000, 0.5019), Tm at (0.0005, 0.5000, 0.0077), Tm at (0.1667, 0.0000, 0.8929), Tm at (0.1684, 0.5000, 0.3922), Tm at (0.3343, 0.5000, 0.7808) and Th at (0.3344, 0.0000, 0.2809).

***

| no. | formation enthalpy at 0 K (kcal/mol of atoms) |
| --- | --- |
| 1 | 1.05 |
| 2 | 3.00 |
| 3 | 0.86 |
| 4 | 4.78 |
| 5 | 10.57 |
| 6 | 5.65 |
| 7 | 7.38 |
| 8 | 0.21 |